(1)
The following is a PBE-GGA calculation of crystalline La3Cd2Ag4 at its relaxed geometry, from the Alexandria database.

Lattice parameters (Å, degrees): 4.8740 5.6611 9.3929 93.78 90.00 115.50
Fractional positions:
La1 0.3652 0.7304 0.6076
La2 0.0000 0.0000 0.0000
La3 0.6348 0.2696 0.3924
Cd1 0.3161 0.6322 0.2324
Cd2 0.6839 0.3678 0.7676
Ag1 0.7043 0.4087 0.0758
Ag2 0.0627 0.1253 0.6439
Ag3 0.9373 0.8747 0.3561
Ag4 0.2957 0.5913 0.9242

Properties
total magnetization: 0.00 μB/atom
mass density: 7.64 g/cm3
volume: 233 Å³ per cell
E: -30.39 eV per cell
space-group type: C2/m (12)
energy relative to the lowest polymorph listed for this composition: 0.055 eV/atom


(2)
The following is a PBE-GGA calculation of crystalline ZrTa2Ni at its relaxed geometry, from the Alexandria database.

Lattice parameters (Å, degrees): 5.4101 5.4101 4.9040 63.70 63.70 33.71
Fractional positions:
Ni1 0.7394 0.7394 0.7669
Ta1 0.0172 0.0172 0.9793
Ta2 0.2583 0.2583 0.2416
Zr1 0.4852 0.4852 0.5122

Properties
total magnetization: 0.00 μB/atom
mass density: 12.04 g/cm3
volume: 71 Å³ per cell
E: -37.74 eV per cell
space-group type: Cm (8)
energy relative to the lowest polymorph listed for this composition: 0.143 eV/atom


(3)
The following is a PBE-GGA calculation of crystalline AgSeN2Cl at its relaxed geometry, from the Alexandria database.

Lattice parameters (Å, degrees): 4.0792 4.0792 6.0589 90.00 90.00 90.00
Last column: magnetic moment on the atom in μB.
Fractional positions:
N1 0.0000 0.5000 0.0000  1.23
N2 0.5000 0.0000 0.0000  1.23
Se1 0.0000 0.0000 0.5000  0.25
Ag1 0.0000 0.0000 0.0000  0.25
Cl1 0.5000 0.5000 0.5000  0.04

Properties
energy relative to the elements, uncorrected: 9.018 eV/f.u.
total magnetization: 0.84 μB/atom
mass density: 4.12 g/cm3
volume: 101 Å³ per cell
E: -15.81 eV per cell
space-group type: P4/mmm (123)
energy relative to the lowest polymorph listed for this composition: 0.000 eV/atom


(4)
The following is a PBE-GGA calculation of crystalline ScSnGeF2 at its relaxed geometry, from the Alexandria database.

Lattice parameters (Å, degrees): 4.3103 5.7194 4.3103 90.00 90.00 90.00
Fractional positions:
Sc1 0.5000 0.5000 0.5000
Ge1 0.0000 0.5000 0.0000
Sn1 0.0000 0.0000 0.0000
F1 0.0000 0.0000 0.5000
F2 0.5000 0.0000 0.0000

Properties
energy relative to the elements, uncorrected: -5.863 eV/f.u.
total magnetization: 0.00 μB/atom
mass density: 4.29 g/cm3
volume: 106 Å³ per cell
E: -24.56 eV per cell
space-group type: P4/mmm (123)


(5)
The following is a PBE-GGA calculation of crystalline KZrCo2Pb at its relaxed geometry, from the Alexandria database.

Lattice parameters (Å, degrees): 4.9262 5.6166 4.9262 90.00 90.00 90.00
Last column: magnetic moment on the atom in μB.
Fractional positions:
Pb1 0.0000 0.0000 0.0000  -0.03
K1 0.0000 0.5000 0.0000  -0.06
Co1 0.0000 0.0000 0.5000  1.56
Co2 0.5000 0.0000 0.0000  1.52
Zr1 0.5000 0.5000 0.5000  -1.44

Properties
total magnetization: 0.05 μB/atom
mass density: 5.55 g/cm3
volume: 136 Å³ per cell
E: -19.59 eV per cell
space-group type: P4/mmm (123)


(6)
The following is a PBE-GGA calculation of crystalline Sm4InHg3 at its relaxed geometry, from the Alexandria database.

Lattice parameters (Å, degrees): 3.7721 3.7721 15.4844 90.00 90.00 90.00
Last column: magnetic moment on the atom in μB.
Fractional positions:
Hg1 0.5000 0.5000 0.2520  0.02
Hg2 0.5000 0.5000 0.5000  0.02
Hg3 0.5000 0.5000 0.7480  0.02
Sm1 0.0000 0.0000 0.8711  0.08
Sm2 0.0000 0.0000 0.1289  0.08
Sm3 0.0000 0.0000 0.3765  0.19
Sm4 0.0000 0.0000 0.6235  0.19
In1 0.5000 0.5000 0.0000  0.00

Properties
total magnetization: 0.14 μB/atom
mass density: 9.93 g/cm3
volume: 220 Å³ per cell
E: -26.31 eV per cell
space-group type: P4/mmm (123)